FeOsPt2 | GGA-PBE | optimized geometry

Unit cell a=4.6933 b=4.6933 c=4.6933 alpha=130.98 beta=130.98 gamma=71.85
Fractional positions:
Fe 0.0000 0.0000 0.0000
Os 0.2500 0.7500 0.5000
Pt 0.5000 0.5000 0.0000
Pt 0.7500 0.2500 0.5000

* DFT formation energy: 38 meV/atom
* crystal system: tetragonal
* volume: 14.41 A^3/atom